one:
This record from the Alexandria database describes a geometry-optimized MnZnSb2I structure. The functional is PBE.

Computed properties:
Spin magnetization (μB per formula unit): 0.5

a = 5.144 Å, b = 5.144 Å, c = 5.581 Å
α = 90.00°, β = 90.00°, γ = 90.00°
Space group P4/mmm (No. 123)
Inequivalent atoms, fractional coordinates:
Mn 0.000 0.000 0.000 x1
Zn 0.500 0.500 0.500 x1
Sb 0.000 0.500 0.500 x2
I 0.500 0.500 0.000 x1


two:
This record from the Alexandria database describes a geometry-optimized MnZnSb2I structure. The functional is PBE.

Computed properties:
Spin magnetization (μB per formula unit): 1.9

a = 5.011 Å, b = 5.011 Å, c = 5.824 Å
α = 90.00°, β = 90.00°, γ = 90.00°
Space group P4/mmm (No. 123)
Inequivalent atoms, fractional coordinates:
Mn 0.000 0.000 0.000 x1
Zn 0.500 0.500 0.500 x1
Sb 0.000 0.500 0.000 x2
I 0.000 0.000 0.500 x1


Name the most stable of them. two.


one:
This record from the Alexandria database describes a geometry-optimized Sc3MnI structure. The functional is PBE.

Computed properties:
Spin magnetization (μB per formula unit): 4.0

a = 5.240 Å, b = 5.240 Å, c = 5.240 Å
α = 90.00°, β = 90.00°, γ = 90.00°
Space group Pm-3m (No. 221)
Inequivalent atoms, fractional coordinates:
Sc 0.000 0.000 0.500 x3
Mn 0.500 0.500 0.500 x1
I 0.000 0.000 0.000 x1


two:
This record from the Alexandria database describes a geometry-optimized Sc3MnI structure. The functional is PBE.

Computed properties:
Spin magnetization (μB per formula unit): 0.8

a = 4.946 Å, b = 4.946 Å, c = 4.946 Å
α = 90.00°, β = 90.00°, γ = 90.00°
Space group Pm-3m (No. 221)
Inequivalent atoms, fractional coordinates:
Sc 0.000 0.000 0.500 x3
Mn 0.000 0.000 0.000 x1
I 0.500 0.500 0.500 x1


Name the most stable of them. two.


one:
This record from the Alexandria database describes a geometry-optimized MnSe2I structure. The functional is PBE.

Computed properties:
Spin magnetization (μB per formula unit): 0.0

a = 8.589 Å, b = 12.708 Å, c = 5.267 Å
α = 90.00°, β = 107.62°, γ = 90.00°
Space group C2/c (No. 15)
Inequivalent atoms, fractional coordinates:
Mn 0.000 0.001 0.250 x4
Se 0.144 0.109 0.068 x8
I 0.000 0.385 0.750 x4


two:
This record from the Alexandria database describes a geometry-optimized MnSe2I structure. The functional is PBE.

Computed properties:
Spin magnetization (μB per formula unit): 3.8

a = 3.9010 Å, b = 3.9010 Å, c = 24.4876 Å
α = 90.00°, β = 90.00°, γ = 120.00°
Space group R-3m (No. 166, hexagonal axes)
Inequivalent atoms, fractional coordinates:
Mn 0.0000 0.0000 0.0000 x3
Se 0.0000 0.0000 0.3860 x6
I 0.0000 0.0000 0.5000 x3


three:
This record from the Alexandria database describes a geometry-optimized MnSe2I structure. The functional is PBE.

Computed properties:
Spin magnetization (μB per formula unit): 2.0

a = 6.158 Å, b = 10.664 Å, c = 6.486 Å
α = 90.00°, β = 95.13°, γ = 90.00°
Space group C2 (No. 5)
Inequivalent atoms, fractional coordinates:
Mn 0.000 0.000 0.000 x2
Mn 0.000 0.259 0.000 x2
Se 0.136 0.465 0.146 x4
Se 0.143 0.129 0.265 x4
I 0.153 0.807 0.258 x4


Name the most stable of them. two.